Entry 1:
A relaxed Ca5In2H crystal. Source: Alexandria, functional GGA-PBE.

The value obtained for the total DFT energy (no corrections) is -2.578 eV/atom. Its volume is 30.442 A^3/atom.

Cell lengths 6.862, 6.862, 6.862 Å; angles 114.54, 114.54, 99.76 degrees
Fractional coordinates of all 8 atoms:
Ca 0.000 0.000 0.000
Ca 0.014 0.014 0.513
Ca 0.014 0.501 0.000
Ca 0.501 0.014 0.000
Ca 0.501 0.501 0.487
In 0.009 0.509 0.500
In 0.509 0.009 0.500
H 0.251 0.251 0.000

---

Entry 2:
A relaxed Ca2InH2 crystal. Source: Alexandria, functional GGA-PBE.

The offset from the most stable computed form comes out at 0.364 eV per atom. Its volume is 18.847 A^3/atom.

Cell lengths 7.719, 7.719, 3.163 Å; angles 90.00, 90.00, 90.00 degrees
Fractional coordinates of all 10 atoms:
Ca 0.148 0.352 0.000
Ca 0.352 0.852 0.000
Ca 0.648 0.148 0.000
Ca 0.852 0.648 0.000
In 0.000 0.000 0.500
In 0.500 0.500 0.500
H 0.096 0.596 0.500
H 0.404 0.096 0.500
H 0.596 0.904 0.500
H 0.904 0.404 0.500

---

Entry 3:
A relaxed Ca2InHIr crystal. Source: Alexandria, functional GGA-PBE.

The value obtained for the total DFT energy (no corrections) is -4.159 eV/atom. Its volume is 19.202 A^3/atom.

Cell lengths 5.054, 5.054, 3.759 Å; angles 90.00, 90.00, 90.00 degrees
Fractional coordinates of all 5 atoms:
Ca 0.000 0.500 0.000
Ca 0.500 0.000 0.000
In 0.000 0.000 0.500
H 0.500 0.500 0.000
Ir 0.500 0.500 0.500

---

Entry 4:
A relaxed CaInH6Ir2 crystal. Source: Alexandria, functional GGA-PBE.

The value obtained for the total DFT energy (no corrections) is -4.530 eV/atom. Its volume is 10.419 A^3/atom.

Cell lengths 6.190, 6.190, 6.190 Å; angles 44.06, 44.06, 44.06 degrees
Fractional coordinates of all 10 atoms:
Ca 0.000 0.000 0.000
In 0.500 0.500 0.500
H 0.021 0.572 0.572
H 0.428 0.428 0.979
H 0.428 0.979 0.428
H 0.572 0.021 0.572
H 0.572 0.572 0.021
H 0.979 0.428 0.428
Ir 0.213 0.213 0.213
Ir 0.787 0.787 0.787

---

Entry 5:
A relaxed CaInH8Ir2 crystal. Source: Alexandria, functional GGA-PBE.

The value obtained for the total DFT energy (no corrections) is -4.181 eV/atom. Its volume is 9.625 A^3/atom.

Cell lengths 6.434, 6.434, 6.434 Å; angles 43.73, 43.73, 43.73 degrees
Fractional coordinates of all 12 atoms:
Ca 0.000 0.000 0.000
In 0.500 0.500 0.500
H 0.092 0.559 0.559
H 0.315 0.315 0.315
H 0.441 0.441 0.908
H 0.441 0.908 0.441
H 0.559 0.092 0.559
H 0.559 0.559 0.092
H 0.685 0.685 0.685
H 0.908 0.441 0.441
Ir 0.223 0.223 0.223
Ir 0.777 0.777 0.777

---

Entry 6:
A relaxed KCa2InH8 crystal. Source: Alexandria, functional GGA-PBE.

The value obtained for the total DFT energy (no corrections) is -3.041 eV/atom. Its volume is 13.309 A^3/atom.

Cell lengths 4.155, 7.481, 5.232 Å; angles 90.00, 100.84, 90.00 degrees
Fractional coordinates of all 12 atoms:
K 0.000 0.000 0.000
Ca 0.500 0.255 0.500
Ca 0.500 0.745 0.500
In 0.000 0.500 0.000
H 0.070 0.305 0.754
H 0.070 0.695 0.754
H 0.425 0.000 0.708
H 0.425 0.500 0.225
H 0.575 0.000 0.292
H 0.575 0.500 0.775
H 0.930 0.305 0.246
H 0.930 0.695 0.246

---

Entry 7:
A relaxed Ca2LaInH crystal. Source: Alexandria, functional GGA-PBE.

The value obtained for the total DFT energy (no corrections) is -3.361 eV/atom. Its volume is 25.848 A^3/atom.

Cell lengths 5.050, 5.050, 5.067 Å; angles 90.00, 90.00, 90.00 degrees
Fractional coordinates of all 5 atoms:
Ca 0.000 0.500 0.000
Ca 0.500 0.000 0.000
La 0.000 0.000 0.500
In 0.500 0.500 0.500
H 0.000 0.000 0.000

---

Entry 8:
A relaxed CaLa2InH crystal. Source: Alexandria, functional GGA-PBE.

The offset from the most stable computed form comes out at 0.104 eV per atom. Its volume is 26.244 A^3/atom.

Cell lengths 5.019, 5.019, 5.209 Å; angles 90.00, 90.00, 90.00 degrees
Fractional coordinates of all 5 atoms:
Ca 0.000 0.000 0.000
La 0.000 0.500 0.500
La 0.500 0.000 0.500
In 0.500 0.500 0.000
H 0.500 0.500 0.500

---

Entry 9:
A relaxed CaLa2InH crystal. Source: Alexandria, functional GGA-PBE.

The offset from the most stable computed form comes out at 0.000 eV per atom. Its volume is 26.219 A^3/atom.

Cell lengths 5.025, 5.025, 5.191 Å; angles 90.00, 90.00, 90.00 degrees
Fractional coordinates of all 5 atoms:
Ca 0.000 0.000 0.000
La 0.000 0.500 0.500
La 0.500 0.000 0.500
In 0.500 0.500 0.000
H 0.000 0.000 0.500

---

Entry 10:
A relaxed LiCaInH2 crystal. Source: Alexandria, functional GGA-PBE.

The value obtained for the total DFT energy (no corrections) is -2.414 eV/atom. Its volume is 18.657 A^3/atom.

Cell lengths 4.291, 4.291, 5.067 Å; angles 90.00, 90.00, 90.00 degrees
Fractional coordinates of all 5 atoms:
Li 0.000 0.000 0.000
Ca 0.500 0.500 0.500
In 0.000 0.000 0.500
H 0.000 0.500 0.000
H 0.500 0.000 0.000

---

Entry 11:
A relaxed LiCa2InH crystal. Source: Alexandria, functional GGA-PBE.

The offset from the most stable computed form comes out at 0.211 eV per atom. Its volume is 23.145 A^3/atom.

Cell lengths 5.076, 5.076, 4.491 Å; angles 90.00, 90.00, 90.00 degrees
Fractional coordinates of all 5 atoms:
Li 0.000 0.000 0.000
Ca 0.000 0.500 0.500
Ca 0.500 0.000 0.500
In 0.500 0.500 0.000
H 0.500 0.500 0.500

---

Entry 12:
A relaxed LiCa2InH crystal. Source: Alexandria, functional GGA-PBE.

The offset from the most stable computed form comes out at 0.000 eV per atom. Its volume is 21.859 A^3/atom.

Cell lengths 5.219, 5.219, 4.013 Å; angles 90.00, 90.00, 90.00 degrees
Fractional coordinates of all 5 atoms:
Li 0.000 0.000 0.000
Ca 0.000 0.500 0.500
Ca 0.500 0.000 0.500
In 0.500 0.500 0.000
H 0.000 0.000 0.500

---

Entry 13:
A relaxed Li2CaInH crystal. Source: Alexandria, functional GGA-PBE.

The value obtained for the total DFT energy (no corrections) is -2.664 eV/atom. Its volume is 18.964 A^3/atom.

Cell lengths 4.559, 4.559, 4.561 Å; angles 90.00, 90.00, 90.00 degrees
Fractional coordinates of all 5 atoms:
Li 0.000 0.500 0.000
Li 0.500 0.000 0.000
Ca 0.000 0.000 0.500
In 0.500 0.500 0.500
H 0.000 0.000 0.000

---

Entry 14:
A relaxed Ca2MgInH crystal. Source: Alexandria, functional GGA-PBE.

The offset from the most stable computed form comes out at 0.000 eV per atom. Its volume is 22.329 A^3/atom.

Cell lengths 4.961, 4.961, 4.536 Å; angles 90.00, 90.00, 90.00 degrees
Fractional coordinates of all 5 atoms:
Ca 0.000 0.500 0.000
Ca 0.500 0.000 0.000
Mg 0.000 0.000 0.500
In 0.500 0.500 0.500
H 0.000 0.000 0.000

---

Entry 15:
A relaxed Ca2MgInH crystal. Source: Alexandria, functional GGA-PBE.

The offset from the most stable computed form comes out at 0.112 eV per atom. Its volume is 23.300 A^3/atom.

Cell lengths 5.127, 5.127, 4.433 Å; angles 90.00, 90.00, 90.00 degrees
Fractional coordinates of all 5 atoms:
Ca 0.000 0.500 0.000
Ca 0.500 0.000 0.000
Mg 0.000 0.000 0.500
In 0.500 0.500 0.500
H 0.500 0.500 0.000

---

Entry 16:
A relaxed Na2CaInH crystal. Source: Alexandria, functional GGA-PBE.

The value obtained for the total DFT energy (no corrections) is -2.336 eV/atom. Its volume is 23.302 A^3/atom.

Cell lengths 4.995, 4.995, 4.669 Å; angles 90.00, 90.00, 90.00 degrees
Fractional coordinates of all 5 atoms:
Na 0.000 0.500 0.000
Na 0.500 0.000 0.000
Ca 0.000 0.000 0.500
In 0.500 0.500 0.500
H 0.000 0.000 0.000

---

Entry 17:
A relaxed NaCa2InH crystal. Source: Alexandria, functional GGA-PBE.

The value obtained for the total DFT energy (no corrections) is -2.590 eV/atom. Its volume is 23.880 A^3/atom.

Cell lengths 5.036, 5.036, 4.707 Å; angles 90.00, 90.00, 90.00 degrees
Fractional coordinates of all 5 atoms:
Na 0.000 0.000 0.000
Ca 0.000 0.500 0.500
Ca 0.500 0.000 0.500
In 0.500 0.500 0.000
H 0.000 0.000 0.500

---

Entry 18:
A relaxed CaInNi2H8 crystal. Source: Alexandria, functional GGA-PBE.

The value obtained for the total DFT energy (no corrections) is -3.533 eV/atom. Its volume is 9.182 A^3/atom.

Cell lengths 4.357, 4.357, 6.702 Å; angles 90.00, 90.00, 120.00 degrees
Fractional coordinates of all 12 atoms:
Ca 0.000 0.000 0.000
In 0.000 0.000 0.500
Ni 0.333 0.667 0.708
Ni 0.667 0.333 0.292
H 0.039 0.674 0.283
H 0.326 0.365 0.283
H 0.333 0.667 0.934
H 0.365 0.039 0.717
H 0.635 0.961 0.283
H 0.667 0.333 0.066
H 0.674 0.635 0.717
H 0.961 0.326 0.717

---

Entry 19:
A relaxed Ca2InHPb crystal. Source: Alexandria, functional GGA-PBE.

The offset from the most stable computed form comes out at 0.057 eV per atom. Its volume is 24.256 A^3/atom.

Cell lengths 5.070, 5.070, 4.718 Å; angles 90.00, 90.00, 90.00 degrees
Fractional coordinates of all 5 atoms:
Ca 0.000 0.500 0.000
Ca 0.500 0.000 0.000
In 0.000 0.000 0.500
H 0.500 0.500 0.000
Pb 0.500 0.500 0.500

---

Entry 20:
A relaxed CaIn2HPb crystal. Source: Alexandria, functional GGA-PBE.

The value obtained for the total DFT energy (no corrections) is -3.059 eV/atom. Its volume is 23.070 A^3/atom.

Cell lengths 4.916, 4.916, 4.773 Å; angles 90.00, 90.00, 90.00 degrees
Fractional coordinates of all 5 atoms:
Ca 0.000 0.000 0.000
In 0.000 0.500 0.500
In 0.500 0.000 0.500
H 0.000 0.000 0.500
Pb 0.500 0.500 0.000